Record 1
The following is a DFT calculation (PBE) of crystalline BiAuBr6 at its relaxed geometry.

Calculated values
Polymorph energy (0 for the lowest one) = 7.6 kJ per mole of atoms
Final energy = -2.504 eV per atom

Cell: 8.8024 9.4647 7.3168 Å, 58.67 59.85 37.75°
With the nearest neighbours (Å) after each atom.
Positions (direct):
Bi 0.5000 0.5000 0.5000  6 Br 2.78-2.98
Au 0.0000 0.0000 0.0000  4 Br 2.49-2.53
Br 0.1242 0.5203 0.6503  1 Bi 2.78
Br 0.7409 0.0648 0.8573  1 Au 2.49
Br 0.6171 0.2237 0.2831  1 Au 2.53
Br 0.2591 0.9352 0.1427  1 Au 2.49
Br 0.8758 0.4797 0.3497  1 Bi 2.78
Br 0.3829 0.7763 0.7169  1 Au 2.53


Record 2
The following is a DFT calculation (PBE) of crystalline LaPrO3 at its relaxed geometry.

Calculated values
Final energy = -8.146 eV per atom

Cell: 5.9807 5.9807 6.7054 Å, 63.52 63.52 60.00°
With the nearest neighbours (Å) after each atom.
Positions (direct):
La 0.1443 0.1443 0.5670  6 O 2.39-2.52
La 0.8557 0.8557 0.4330  6 O 2.39-2.52
Pr 0.3542 0.3542 0.9375  6 O 2.38-2.50
Pr 0.6458 0.6458 0.0625  6 O 2.38-2.50
O 0.2537 0.9581 0.2493  2 Pr 2.38-2.50, 2 La 2.39-2.52
O 0.9581 0.5389 0.2493  2 Pr 2.38-2.50, 2 La 2.39-2.52
O 0.5389 0.2537 0.2493  2 Pr 2.38-2.50, 2 La 2.39-2.52
O 0.7463 0.4611 0.7507  2 Pr 2.38-2.50, 2 La 2.39-2.52
O 0.0419 0.7463 0.7507  2 Pr 2.38-2.50, 2 La 2.39-2.52
O 0.4611 0.0419 0.7507  2 Pr 2.38-2.50, 2 La 2.39-2.52


Record 3
The following is a DFT calculation (PBE) of crystalline Tb3Nd12Hg at its relaxed geometry.

Calculated values
Calculated formation energy = -0.023 eV per atom
Final energy = -4.486 eV per atom

Cell: 5.0875 5.0875 20.6626 Å, 90.00 90.00 90.00°
With the nearest neighbours (Å) after each atom.
Positions (direct):
Tb 0.0000 0.0000 0.2471  12 Nd 3.60-3.65
Tb 0.0000 0.0000 0.5000  12 Nd 3.60-3.65
Tb 0.0000 0.0000 0.7529  12 Nd 3.60-3.65
Nd 0.5000 0.5000 0.0000  8 Nd 3.56, 4 Hg 3.60
Nd 0.5000 0.5000 0.2451  4 Tb 3.60, 8 Nd 3.62-3.67
Nd 0.5000 0.5000 0.5000  4 Tb 3.60, 8 Nd 3.65
Nd 0.5000 0.5000 0.7549  4 Tb 3.60, 8 Nd 3.62-3.67
Nd 0.5000 0.0000 0.1207  8 Nd 3.56-3.62, 2 Hg 3.56, 2 Tb 3.65
Nd 0.5000 0.0000 0.3734  8 Nd 3.60-3.67, 4 Tb 3.64-3.65
Nd 0.5000 0.0000 0.6266  8 Nd 3.60-3.67, 4 Tb 3.64-3.65
Nd 0.5000 0.0000 0.8793  2 Hg 3.56, 8 Nd 3.56-3.62, 2 Tb 3.65
Nd 0.0000 0.5000 0.1207  2 Hg 3.56, 8 Nd 3.56-3.62, 2 Tb 3.65
Nd 0.0000 0.5000 0.3734  8 Nd 3.60-3.67, 4 Tb 3.64-3.65
Nd 0.0000 0.5000 0.6266  8 Nd 3.60-3.67, 4 Tb 3.64-3.65
Nd 0.0000 0.5000 0.8793  2 Hg 3.56, 8 Nd 3.56-3.62, 2 Tb 3.65
Hg 0.0000 0.0000 0.0000  12 Nd 3.56-3.60


Record 4
The following is a DFT calculation (PBE) of crystalline Pu2ZnCr at its relaxed geometry.

Calculated values
Polymorph energy (0 for the lowest one) = 34.0 kJ per mole of atoms
Calculated formation energy = 0.504 eV per atom
Final energy = -9.386 eV per atom

Cell: 3.1013 3.1013 10.4700 Å, 81.48 81.48 60.00°
With the nearest neighbours (Å) after each atom.
Positions (direct):
Cr 0.5000 0.5000 0.5000  6 Pu 2.80, 6 Cr 3.10
Zn 0.0000 0.0000 0.0000  2 Pu 3.01, 6 Zn 3.10
Pu 0.0973 0.0973 0.7082  3 Cr 2.80, 1 Zn 3.01, 6 Pu 3.10
Pu 0.9027 0.9027 0.2918  3 Cr 2.80, 1 Zn 3.01, 6 Pu 3.10


Record 5
The following is a DFT calculation (PBE) of crystalline RuRhSCl2 at its relaxed geometry.

Calculated values
Polymorph energy (0 for the lowest one) = 0.0 kJ per mole of atoms
Final energy = -4.279 eV per atom

Cell: 4.9379 4.9379 4.3598 Å, 90.00 90.00 90.00°
With the nearest neighbours (Å) after each atom.
Positions (direct):
Ru 0.0000 0.0000 0.0000  2 S 2.18
S 0.0000 0.0000 0.5000  2 Ru 2.18
Rh 0.5000 0.5000 0.5000  8 Cl 3.29, 4 S 3.49
Cl 0.0000 0.5000 0.0000  2 Ru 2.47
Cl 0.5000 0.0000 0.0000  2 Ru 2.47


Record 6
The following is a DFT calculation (PBE) of crystalline Pm3YZn4 at its relaxed geometry.

Calculated values
Calculated formation energy = -0.325 eV per atom
Final energy = -3.552 eV per atom

Cell: 5.1387 5.1387 8.9335 Å, 73.29 73.29 60.00°
With the nearest neighbours (Å) after each atom.
Positions (direct):
Y 0.0000 0.0000 0.0000  8 Zn 3.13-3.14
Zn 0.8763 0.8763 0.3712  1 Y 3.13, 7 Pm 3.14-3.21
Zn 0.3738 0.3738 0.8785  5 Pm 3.11-3.19, 3 Y 3.14
Zn 0.1237 0.1237 0.6288  1 Y 3.13, 7 Pm 3.14-3.21
Zn 0.6262 0.6262 0.1215  5 Pm 3.11-3.19, 3 Y 3.14
Pm 0.2508 0.2508 0.2475  8 Zn 3.11-3.21
Pm 0.7492 0.7492 0.7525  8 Zn 3.11-3.21
Pm 0.5000 0.5000 0.5000  8 Zn 3.16-3.19